VASP calculation (PBE-GGA) on crystalline SnH4Se at its relaxed geometry.

Geometry as POSCAR:
```
SnH4Se
1.0
-1.8588 -4.9593 1.7743
0.8929 -2.7841 5.3978
-4.7967 0.8937 10.6122
H Se Sn
8 2 2
Direct
0.8413 0.4486 0.4429
0.4119 0.3800 0.3181
0.3470 0.4135 0.9514
0.1587 0.5514 0.5571
0.5881 0.6200 0.6819
0.6530 0.5865 0.0486
0.6194 0.0832 0.7134
0.3806 0.9168 0.2866
0.2768 0.2247 0.7394
0.7232 0.7753 0.2606
0.2066 0.7779 0.7376
0.7934 0.2221 0.2624
```

Summary:
Space group   P-1, No. 2
Crystal system   triclinic
Total DFT energy (no corrections)   -3.30 eV per atom
Size of the total moment   0.00 μB per formula unit



VASP calculation (PBE-GGA) on crystalline ScReAs2Se at its relaxed geometry.

Geometry as POSCAR:
```
ScReAs2Se
1.0
-1.8342 4.1103 -1.2284
-2.6722 -2.1397 -3.1700
-3.9645 -0.6410 3.7746
Se As Re Sc
1 2 1 1
Direct
0.0000 0.0000 0.5000
0.0000 0.5000 0.0000
0.5000 0.0000 0.0000
0.0000 0.0000 0.0000
0.5000 0.5000 0.5000
```

Summary:
Space group   P4/mmm, No. 123
Crystal system   tetragonal
Formation energy (no corrections)   274.4 meV per atom
Total DFT energy (no corrections)   -6.04 eV per atom
Energy above the most stable polymorph in this dataset   0.00 eV per formula unit
Size of the total moment   0.30 μB per formula unit



VASP calculation (PBE-GGA) on crystalline TcRuPbC2 at its relaxed geometry.

Geometry as POSCAR:
```
TcRuPbC2
1.0
-1.4176 3.0662 -2.0146
-3.6730 -3.6173 -2.9210
-2.7414 0.5500 2.7661
C Tc Ru Pb
2 1 1 1
Direct
0.5000 0.0000 0.0000
0.0000 0.0000 0.5000
0.5000 0.5000 0.5000
0.0000 0.0000 0.0000
0.0000 0.5000 0.0000
```

Summary:
Space group   P4/mmm, No. 123
Crystal system   tetragonal
Formation energy from the elements   1.860 eV/atom
Total DFT energy (no corrections)   -6.50 eV per atom
Size of the total moment   3.12 μB per formula unit



VASP calculation (PBE-GGA) on crystalline ScZn4Cr at its relaxed geometry.

Geometry as POSCAR:
```
ScZn4Cr
1.0
-2.6773 -0.2215 4.3282
-3.4867 -3.6558 0.6539
0.8470 -3.7615 3.3292
Sc Zn Cr
1 4 1
Direct
0.0000 0.0000 0.0000
0.6246 0.1261 0.6246
0.1261 0.6246 0.6246
0.6246 0.6246 0.1261
0.6246 0.6246 0.6246
0.2500 0.2500 0.2500
```

Summary:
Space group   F-43m, No. 216
Crystal system   cubic
Formation energy from the elements   -0.150 eV/atom
Total DFT energy (no corrections)   -3.66 eV per atom
Size of the total moment   3.00 μB per formula unit



VASP calculation (PBE-GGA) on crystalline Tl3In2Bi3 at its relaxed geometry.

Geometry as POSCAR:
```
Tl3In2Bi3
1.0
-0.8498 1.3717 3.1631
-8.7344 -2.2275 -1.3805
5.6238 -5.9105 4.0739
Tl In Bi
3 2 3
Direct
0.0000 0.2362 0.0000
0.0000 0.0000 0.2362
0.0000 0.7638 0.7638
0.0000 0.3333 0.6667
0.0000 0.6667 0.3333
0.5000 0.5939 0.0000
0.5000 0.0000 0.5939
0.5000 0.4061 0.4061
```

Summary:
Space group   P-62m, No. 189
Crystal system   hexagonal
Formation energy from the elements   -0.004 eV/atom
Total DFT energy (no corrections)   -3.03 eV per atom
Size of the total moment   0.00 μB per formula unit



VASP calculation (PBE-GGA) on crystalline TaCoRe2 at its relaxed geometry.

Geometry as POSCAR:
```
TaCoRe2
1.0
-1.9483 1.8369 0.1052
-0.9674 -0.8215 -3.5734
-3.7404 -4.0790 1.9503
Ta Re Co
1 2 1
Direct
0.5000 0.5000 0.2500
0.0000 0.0000 0.9672
0.0000 0.0000 0.5328
0.5000 0.5000 0.7500
```

Summary:
Space group   Pmmm, No. 47
Crystal system   orthorhombic
Formation energy from the elements   0.111 eV/atom
Total DFT energy (no corrections)   -10.85 eV per atom
Energy above the most stable polymorph in this dataset   0.55 eV per formula unit
Size of the total moment   0.03 μB per formula unit



VASP calculation (PBE-GGA) on crystalline CaScTe at its relaxed geometry.

Geometry as POSCAR:
```
CaScTe
1.0
6.6105 -0.0065 0.0070
5.5324 3.6169 0.0220
1.0781 0.3035 3.6107
Sc Ca Te
1 1 1
Direct
0.3053 0.3053 0.6947
0.0052 0.0052 0.9948
0.6895 0.6895 0.3105
```

Summary:
Space group   I4mm, No. 107
Crystal system   tetragonal
Formation energy (no corrections)   -693.5 meV per atom
Total DFT energy (no corrections)   -4.52 eV per atom
Energy above the most stable polymorph in this dataset   0.55 eV per formula unit
Size of the total moment   0.96 μB per formula unit



VASP calculation (PBE-GGA) on crystalline Nd3TlPt8 at its relaxed geometry.

Geometry as POSCAR:
```
Nd3TlPt8
1.0
0.3345 0.1859 5.4943
-3.5757 -2.8453 3.0744
4.4609 -7.9561 2.7581
Pt Tl Nd
8 1 3
Direct
0.6882 0.6882 0.9355
0.1882 0.1882 0.4353
0.9426 0.4378 0.1818
0.4378 0.9426 0.1818
0.9377 0.9377 0.6906
0.9377 0.4340 0.6906
0.4378 0.4378 0.1818
0.4340 0.9377 0.6906
0.8694 0.8694 0.3917
0.5059 0.5059 0.4823
0.3774 0.3774 0.8678
0.9933 0.9933 0.0200
```

Summary:
Space group   R3m, No. 160
Crystal system   trigonal
Formation energy from the elements   -0.910 eV/atom
Total DFT energy (no corrections)   -6.33 eV per atom
Size of the total moment   0.00 μB per formula unit